[1]
Computed, not measured: a relaxed PaBeBO6 crystal at the GGA-PBE level of DFT.

abc: 4.6480 4.5957 4.5957
angles: 120.00 90.00 90.00
Fractional coordinates of all 9 atoms:
O  0.2916  0.9530  0.6469
O  0.7084  0.3531  0.0470
O  0.2916  0.3531  0.3061
O  0.7084  0.6939  0.6469
O  0.7084  0.9530  0.3061
O  0.2916  0.6939  0.0470
B  0.5000  0.6667  0.3333
Be  0.5000  0.0000  0.0000
Pa  0.0000  0.3333  0.6667

M_tot (Bohr magnetons per cell): 0.003
Raw formation energy (eV/atom): -1.99
Volume (Å³ per cell): 85
Fermi-level density of states (states/eV/f.u.): 6.70

---

[2]
Computed, not measured: a relaxed Be2B2PbO6 crystal at the GGA-PBE level of DFT.

abc: 4.7412 4.7397 6.2842
angles: 106.29 96.44 61.55
Fractional coordinates of all 11 atoms:
Be  0.8519  0.4203  0.8595
Be  0.1481  0.5797  0.1405
B  0.7885  0.2568  0.2064
B  0.2115  0.7432  0.7936
O  0.4723  0.3485  0.2411
O  0.5277  0.6515  0.7589
O  0.9690  0.0287  0.7498
O  0.8546  0.4829  0.1428
O  0.0310  0.9713  0.2502
O  0.1454  0.5171  0.8572
Pb  0.5000  0.0000  0.5000

M_tot (Bohr magnetons per cell): 0.000
Raw formation energy (eV/atom): -2.31
Volume (Å³ per cell): 119
Fermi-level density of states (states/eV/f.u.): 0.00

---

[3]
Computed, not measured: a relaxed PuBeB2O6 crystal at the GGA-PBE level of DFT.

abc: 4.6761 4.6761 5.7335
angles: 65.93 65.93 60.00
Fractional coordinates of all 10 atoms:
O  0.7186  0.0735  0.7225
O  0.0735  0.4854  0.7225
O  0.5146  0.2814  0.2775
O  0.2814  0.9265  0.2775
O  0.9265  0.5146  0.2775
O  0.4854  0.7186  0.7225
B  0.7630  0.7630  0.7109
B  0.2370  0.2370  0.2891
Be  0.5000  0.5000  0.5000
Pu  0.0000  0.0000  0.0000

M_tot (Bohr magnetons per cell): 4.000
Raw formation energy (eV/atom): -2.47
Volume (Å³ per cell): 96
Fermi-level density of states (states/eV/f.u.): 6.97

---

[4]
Computed, not measured: a relaxed BeBSb2O crystal at the GGA-PBE level of DFT.

abc: 5.8607 5.8607 2.8679
angles: 90.00 90.00 90.00
Fractional coordinates of all 5 atoms:
O  0.0000  0.0000  0.0000
B  0.5000  0.5000  0.5000
Sb  0.0000  0.5000  0.0000
Sb  0.5000  0.0000  0.0000
Be  0.0000  0.0000  0.5000

M_tot (Bohr magnetons per cell): 0.000
Raw formation energy (eV/atom): 0.36
Volume (Å³ per cell): 99
Fermi-level density of states (states/eV/f.u.): 2.83

---

[5]
Computed, not measured: a relaxed BeSiB2O crystal at the GGA-PBE level of DFT.

abc: 4.0843 3.4150 4.0843
angles: 90.00 90.00 90.00
Fractional coordinates of all 5 atoms:
Si  0.0000  0.0000  0.0000
Be  0.5000  0.5000  0.5000
B  0.0000  0.0000  0.5000
B  0.5000  0.0000  0.0000
O  0.0000  0.5000  0.0000

M_tot (Bohr magnetons per cell): 0.000
Raw formation energy (eV/atom): 0.93
Volume (Å³ per cell): 57
Fermi-level density of states (states/eV/f.u.): 3.00

---

[6]
Computed, not measured: a relaxed Sr2BeB2O6 crystal at the GGA-PBE level of DFT.

abc: 4.8273 5.7209 5.8648
angles: 115.45 90.00 114.95
Fractional coordinates of all 11 atoms:
O  0.3073  0.1153  0.7451
O  0.8423  0.6846  0.6834
O  0.1920  0.8847  0.2549
O  0.8080  0.1153  0.7451
O  0.6927  0.8847  0.2549
O  0.1577  0.3154  0.3166
B  0.9837  0.9675  0.7244
B  0.0163  0.0325  0.2756
Sr  0.6980  0.3959  0.1937
Sr  0.3020  0.6041  0.8063
Be  0.5000  0.0000  0.5000

M_tot (Bohr magnetons per cell): 0.000
Raw formation energy (eV/atom): -2.65
Volume (Å³ per cell): 129
Fermi-level density of states (states/eV/f.u.): 0.00